(1)
# ReOsAu2

A relaxed ReOsAu2 crystal (PBEsol, Alexandria via LeMat-Bulk).

```
data_ReOsAu2
_chemical_formula_sum 'Re2 Os2 Au4'
_symmetry_space_group_name_H-M 'C 1 2/m 1'
_symmetry_Int_Tables_number 12
_cell_length_a 9.362
_cell_length_b 2.787
_cell_length_c 4.777
_cell_angle_alpha 90.00
_cell_angle_beta 99.88
_cell_angle_gamma 90.00
loop_
_symmetry_equiv_pos_as_xyz
'x,y,z'
'-x,-y,-z'
'-x,y,-z'
'x,-y,z'
'x+1/2,y+1/2,z'
'-x+1/2,-y+1/2,-z'
'-x+1/2,y+1/2,-z'
'x+1/2,-y+1/2,z'
loop_
_atom_site_label
_atom_site_type_symbol
_atom_site_fract_x
_atom_site_fract_y
_atom_site_fract_z
_atom_site_occupancy
Re1 Re 0.000 0.000 0.000 1
Os1 Os 0.000 0.500 0.500 1
Au1 Au 0.249 0.500 0.249 1
```

Summary:
Energy of formation: 0.540 eV/atom
Crystal system: monoclinic
Energy relative to the lowest polymorph listed for this composition: 0 meV/atom
Mass density: 20836 kg/m3

---

(2)
# Zr3AlSn

A relaxed Zr3AlSn crystal (PBEsol, Alexandria via LeMat-Bulk).

```
data_Zr3AlSn
_chemical_formula_sum 'Zr3 Al1 Sn1'
_symmetry_space_group_name_H-M 'P m -3 m'
_symmetry_Int_Tables_number 221
_symmetry_space_group_name_Hall '-P 4 2 3'
_cell_length_a 5.185
_cell_length_b 5.185
_cell_length_c 5.185
_cell_angle_alpha 90.00
_cell_angle_beta 90.00
_cell_angle_gamma 90.00
loop_
_atom_site_label
_atom_site_type_symbol
_atom_site_fract_x
_atom_site_fract_y
_atom_site_fract_z
_atom_site_occupancy
Zr1 Zr 0.000 0.000 0.500 1
Al1 Al 0.500 0.500 0.500 1
Sn1 Sn 0.000 0.000 0.000 1
```

Summary:
Energy of formation: 0.828 eV/atom
Crystal system: cubic
Mass density: 4996 kg/m3

---

(3)
# LaAgOs2

A relaxed LaAgOs2 crystal (PBEsol, Alexandria via LeMat-Bulk).

```
data_LaAgOs2
_chemical_formula_sum 'La3 Ag3 Os6'
_symmetry_space_group_name_H-M 'R 3 m'
_symmetry_Int_Tables_number 160
_symmetry_space_group_name_Hall 'R 3 -2"'
_cell_length_a 4.3288
_cell_length_b 4.3288
_cell_length_c 15.5037
_cell_angle_alpha 90.00
_cell_angle_beta 90.00
_cell_angle_gamma 120.00
loop_
_atom_site_label
_atom_site_type_symbol
_atom_site_fract_x
_atom_site_fract_y
_atom_site_fract_z
_atom_site_occupancy
La1 La 0.0000 0.0000 0.0000 1
Ag1 Ag 0.0000 0.0000 0.2095 1
Os1 Os 0.0000 0.0000 0.4695 1
Os2 Os 0.0000 0.0000 0.7990 1
```

Summary:
Energy of formation: 0.169 eV/atom
Crystal system: trigonal
Energy relative to the lowest polymorph listed for this composition: 0 meV/atom
Mass density: 12419 kg/m3